## TlVBr2F (PBE with a Hubbard U)

Data for an optimized crystal structure of TlVBr2F.

POSCAR file:
```
TlVBr2F
1.0
-0.3159 -4.6409 -2.9438
4.1157 -2.1539 2.9539
-2.7493 -1.5334 2.7125
Tl F Br V
1 1 2 1
Cartesian
0.5252 -4.1641 1.3613
-1.3747 -0.7667 1.3563
2.0578 -1.0770 1.4770
-0.1580 -2.3205 -1.4719
0.0000 0.0000 0.0000
```

Output
- Symmetry: No. 123
- Total energy: -4.349 eV/atom
- Magnetization: 3.0 μB/f.u.